Entry 1:
Here is crystalline YRe2Te at its relaxed geometry from Alexandria via LeMat-Bulk. Energies are from GGA-PBEsol.

Output
As for the energy: -8.787 eV/atom. The calculation puts the size of the total moment at 0.0 μB/cell. For the density of states at the Fermi level, the calculation gives 3.23 states/eV/cell. For the energy relative to the elements, uncorrected, the calculation gives 1.9 eV per formula unit.

abc: 3.9393 3.9393 4.8245
angles: 90.00 90.00 90.00
With the nearest neighbours (Å) after each atom.
Positions (direct):
Y  0.0000  0.0000  0.0000  4 Te 2.79, 8 Re 3.11
Re  0.0000  0.5000  0.5000  4 Re 2.79, 4 Te 3.11, 4 Y 3.11
Re  0.5000  0.0000  0.5000  4 Re 2.79, 4 Te 3.11, 4 Y 3.11
Te  0.5000  0.5000  0.0000  4 Y 2.79, 8 Re 3.11

Entry 2:
Here is crystalline Mn2AuSe at its relaxed geometry from Alexandria via LeMat-Bulk. Energies are from GGA-PBEsol.

Output
As for the energy: -6.272 eV/atom. The calculation puts the size of the total moment at 33.4 μB/cell. For the density of states at the Fermi level, the calculation gives 17.09 states/eV/cell. For the energy relative to the elements, uncorrected, the calculation gives 2.2 eV per formula unit.

abc: 6.4457 6.4457 6.4457
angles: 90.00 90.00 90.00
With the nearest neighbours (Å) after each atom.
Positions (direct):
Mn  0.0000  0.0000  0.0000  4 Mn 2.79, 4 Au 2.79
Mn  0.0000  0.5000  0.5000  4 Mn 2.79, 4 Au 2.79
Mn  0.2500  0.2500  0.2500  4 Mn 2.79, 4 Se 2.79
Mn  0.2500  0.7500  0.7500  4 Mn 2.79, 4 Se 2.79
Mn  0.5000  0.0000  0.5000  4 Mn 2.79, 4 Au 2.79
Mn  0.5000  0.5000  0.0000  4 Mn 2.79, 4 Au 2.79
Mn  0.7500  0.2500  0.7500  4 Mn 2.79, 4 Se 2.79
Mn  0.7500  0.7500  0.2500  4 Mn 2.79, 4 Se 2.79
Au  0.2500  0.2500  0.7500  4 Mn 2.79, 4 Se 2.79
Au  0.2500  0.7500  0.2500  4 Mn 2.79, 4 Se 2.79
Au  0.7500  0.2500  0.2500  4 Mn 2.79, 4 Se 2.79
Au  0.7500  0.7500  0.7500  4 Mn 2.79, 4 Se 2.79
Se  0.0000  0.0000  0.5000  4 Mn 2.79, 4 Au 2.79
Se  0.0000  0.5000  0.0000  4 Mn 2.79, 4 Au 2.79
Se  0.5000  0.0000  0.0000  4 Mn 2.79, 4 Au 2.79
Se  0.5000  0.5000  0.5000  4 Mn 2.79, 4 Au 2.79

> What is the size of the total moment in the first record?

0.0 μB/cell

> Among the records above, which one has the lowest energy relative to the elements, uncorrected?

YRe2Te